! LiZn2In, optimized geometry, DFT GGA-PBEsol; values from VASP
! DOS(E_F)   1.3 states/eV/f.u.
! VASP energy   -2.107 eV per atom
! Formation energy from the elements   -78 meV/atom
! Space-group type   Pmm2, No. 25
&SYSTEM
  ibrav = 0, nat = 4, ntyp = 3
/
ATOMIC_SPECIES
Zn 65.41 Zn.upf
In 114.82 In.upf
Li 6.94 Li.upf
ATOMIC_POSITIONS crystal
Zn 0.0000 0.0000 0.0064
Zn 0.5000 0.5000 0.2158
In 0.0000 0.0000 0.5054
Li 0.5000 0.5000 0.7724
CELL_PARAMETERS angstrom
2.9387 0.0000 0.0000
0.0000 3.8124 0.0000
0.0000 0.0000 5.9573